# Dy3Cu3Sb4 PBE relaxed
# spin magnetization = 0.0 μB/f.u.
# formation energy from raw total energies = -0.73 eV per atom
# total energy = -4.984 eV/atom
data_Dy3Cu3Sb4
_symmetry_space_group_name_H-M 'I -4 3 d'
_symmetry_Int_Tables_number 220
_symmetry_space_group_name_Hall 'I -4bd 2c 3'
_cell_length_a 9.5887
_cell_length_b 9.5887
_cell_length_c 9.5887
_cell_angle_alpha 90.00
_cell_angle_beta 90.00
_cell_angle_gamma 90.00
loop_
_atom_site_label
_atom_site_fract_x
_atom_site_fract_y
_atom_site_fract_z
Dy1 0.0000 0.2500 0.3750
Cu1 0.0000 0.2500 0.8750
Sb1 0.0806 0.0806 0.0806

# TmMgZrAg PBE relaxed
# energy relative to the elements = 0.013 eV/atom
# spin magnetization = 1.1 μB/f.u.
# total energy = -4.353 eV/atom
data_TmMgZrAg
_symmetry_space_group_name_H-M 'F -4 3 m'
_symmetry_Int_Tables_number 216
_symmetry_space_group_name_Hall 'F -4 2 3'
_cell_length_a 7.1397
_cell_length_b 7.1397
_cell_length_c 7.1397
_cell_angle_alpha 90.00
_cell_angle_beta 90.00
_cell_angle_gamma 90.00
loop_
_atom_site_label
_atom_site_fract_x
_atom_site_fract_y
_atom_site_fract_z
Tm1 0.0000 0.0000 0.0000
Mg1 0.2500 0.2500 0.7500
Zr1 0.0000 0.0000 0.5000
Ag1 0.2500 0.2500 0.2500

# AcMnRh4S8 PBE relaxed
# spin magnetization = 2.5 μB/f.u.
# formation energy from raw total energies = -0.61 eV per atom
# total energy = -6.013 eV/atom
data_AcMnRh4S8
_symmetry_space_group_name_H-M 'R 3 m'
_symmetry_Int_Tables_number 160
_symmetry_space_group_name_Hall 'R 3 -2"'
_cell_length_a 7.4383
_cell_length_b 7.4383
_cell_length_c 16.6875
_cell_angle_alpha 90.00
_cell_angle_beta 90.00
_cell_angle_gamma 120.00
loop_
_atom_site_label
_atom_site_fract_x
_atom_site_fract_y
_atom_site_fract_z
Ac1 0.0000 0.0000 0.0000
Mn1 0.0000 0.0000 0.5312
Rh1 0.0000 0.0000 0.1837
Rh2 0.1688 0.3376 0.3883
S1 0.0000 0.0000 0.3205
S2 0.0000 0.0000 0.7954
S3 0.0800 0.5400 0.3010
S4 0.1736 0.3471 0.1332

# ZnCd8Au2 PBE relaxed
# energy relative to the elements = -0.063 eV/atom
# spin magnetization = 0.0 μB/f.u.
# total energy = -1.441 eV/atom
# offset from the most stable computed form = 0.0 kJ/mol of atoms
data_ZnCd8Au2
_symmetry_space_group_name_H-M 'C 1 2/m 1'
_symmetry_Int_Tables_number 12
_cell_length_a 14.2229
_cell_length_b 7.4035
_cell_length_c 4.6162
_cell_angle_alpha 90.00
_cell_angle_beta 107.97
_cell_angle_gamma 90.00
loop_
_symmetry_equiv_pos_as_xyz
'x,y,z'
'-x,-y,-z'
'-x,y,-z'
'x,-y,z'
'x+1/2,y+1/2,z'
'-x+1/2,-y+1/2,-z'
'-x+1/2,y+1/2,-z'
'x+1/2,-y+1/2,z'
loop_
_atom_site_label
_atom_site_fract_x
_atom_site_fract_y
_atom_site_fract_z
Zn1 0.0000 0.0000 0.0000
Cd1 0.0000 0.2909 0.5000
Cd2 0.1485 0.2741 0.1468
Cd3 0.1623 0.0000 0.6610
Au1 0.1873 0.5000 0.6853

# K4LiNp3O8 PBE relaxed
# spin magnetization = 10.0 μB/f.u.
# formation energy from raw total energies = -2.27 eV per atom
# total energy = -7.570 eV/atom
data_K4LiNp3O8
_symmetry_space_group_name_H-M 'R -3 m'
_symmetry_Int_Tables_number 166
_symmetry_space_group_name_Hall '-R 3 2"'
_cell_length_a 6.9998
_cell_length_b 6.9998
_cell_length_c 18.7366
_cell_angle_alpha 90.00
_cell_angle_beta 90.00
_cell_angle_gamma 120.00
loop_
_atom_site_label
_atom_site_fract_x
_atom_site_fract_y
_atom_site_fract_z
K1 0.0000 0.0000 0.0000
K2 0.0000 0.5000 0.0000
Li1 0.0000 0.0000 0.5000
Np1 0.0000 0.5000 0.5000
O1 0.0000 0.0000 0.2319
O2 0.0227 0.5114 0.7720

# Be2SbBr PBE relaxed
# spin magnetization = 0.0 μB/f.u.
# formation energy from raw total energies = 0.28 eV per atom
# total energy = -3.034 eV/atom
# offset from the most stable computed form = 30.6 kJ/mol of atoms
data_Be2SbBr
_symmetry_space_group_name_H-M 'P m m 2'
_symmetry_Int_Tables_number 25
_cell_length_a 3.6812
_cell_length_b 3.8390
_cell_length_c 5.2205
_cell_angle_alpha 90.00
_cell_angle_beta 90.00
_cell_angle_gamma 90.00
loop_
_symmetry_equiv_pos_as_xyz
'x,y,z'
'-x,-y,z'
'-x,y,z'
'x,-y,z'
loop_
_atom_site_label
_atom_site_fract_x
_atom_site_fract_y
_atom_site_fract_z
Be1 0.0000 0.0000 0.0000
Be2 0.5000 0.5000 0.4445
Sb1 0.5000 0.5000 0.9379
Br1 0.0000 0.0000 0.4352

# Ta3VCu PBE relaxed
# energy relative to the elements = 1.349 eV/atom
# spin magnetization = 1.9 μB/f.u.
# total energy = -8.406 eV/atom
# offset from the most stable computed form = 1.9 kJ/mol of atoms
data_Ta3VCu
_symmetry_space_group_name_H-M 'P m -3 m'
_symmetry_Int_Tables_number 221
_symmetry_space_group_name_Hall '-P 4 2 3'
_cell_length_a 4.6288
_cell_length_b 4.6288
_cell_length_c 4.6288
_cell_angle_alpha 90.00
_cell_angle_beta 90.00
_cell_angle_gamma 90.00
loop_
_atom_site_label
_atom_site_fract_x
_atom_site_fract_y
_atom_site_fract_z
Ta1 0.0000 0.0000 0.5000
V1 0.5000 0.5000 0.5000
Cu1 0.0000 0.0000 0.0000

# K2SmPaSe4 PBE relaxed
# spin magnetization = 1.9 μB/f.u.
# formation energy from raw total energies = -1.52 eV per atom
# total energy = -5.315 eV/atom
data_K2SmPaSe4
_symmetry_space_group_name_H-M 'P 1 2/m 1'
_symmetry_Int_Tables_number 10
_cell_length_a 7.3553
_cell_length_b 4.2184
_cell_length_c 8.1383
_cell_angle_alpha 90.00
_cell_angle_beta 107.30
_cell_angle_gamma 90.00
loop_
_symmetry_equiv_pos_as_xyz
'x,y,z'
'-x,-y,-z'
'-x,y,-z'
'x,-y,z'
loop_
_atom_site_label
_atom_site_fract_x
_atom_site_fract_y
_atom_site_fract_z
K1 0.0000 0.0000 0.0000
K2 0.5000 0.5000 0.0000
Sm1 0.0000 0.5000 0.5000
Pa1 0.5000 0.0000 0.5000
Se1 0.2425 0.0000 0.7111
Se2 0.2667 0.5000 0.2890

# ZrBe2Ir2 PBE relaxed
# energy relative to the elements = -0.474 eV/atom
# spin magnetization = 0.0 μB/f.u.
# total energy = -7.218 eV/atom
# offset from the most stable computed form = 16.9 kJ/mol of atoms
data_ZrBe2Ir2
_symmetry_space_group_name_H-M 'P 4/m b m'
_symmetry_Int_Tables_number 127
_symmetry_space_group_name_Hall '-P 4 2ab'
_cell_length_a 6.9552
_cell_length_b 6.9552
_cell_length_c 2.8316
_cell_angle_alpha 90.00
_cell_angle_beta 90.00
_cell_angle_gamma 90.00
loop_
_atom_site_label
_atom_site_fract_x
_atom_site_fract_y
_atom_site_fract_z
Zr1 0.0000 0.0000 0.0000
Be1 0.1468 0.3532 0.5000
Ir1 0.1453 0.6453 0.0000

# YTiNbO6 PBE relaxed
# spin magnetization = 0.0 μB/f.u.
# formation energy from raw total energies = -3.06 eV per atom
# total energy = -9.080 eV/atom
# offset from the most stable computed form = 0.0 kJ/mol of atoms
data_YTiNbO6
_symmetry_space_group_name_H-M 'P 1 21/c 1'
_symmetry_Int_Tables_number 14
_cell_length_a 5.2364
_cell_length_b 14.8009
_cell_length_c 5.6535
_cell_angle_alpha 90.00
_cell_angle_beta 90.67
_cell_angle_gamma 90.00
loop_
_symmetry_equiv_pos_as_xyz
'x,y,z'
'-x,-y,-z'
'-x,y+1/2,-z+1/2'
'x,-y+1/2,z+1/2'
loop_
_atom_site_label
_atom_site_fract_x
_atom_site_fract_y
_atom_site_fract_z
Y1 0.2446 0.9998 0.2373
Ti1 0.1861 0.1631 0.6898
Nb1 0.3204 0.6696 0.1838
O1 0.0338 0.5923 0.0563
O2 0.0847 0.0860 0.9115
O3 0.1398 0.7400 0.8602
O4 0.3601 0.2431 0.3618
O5 0.4168 0.5847 0.4093
O6 0.4647 0.0926 0.5674

# NaAc2ThSe5 PBE relaxed
# spin magnetization = 0.0 μB/f.u.
# formation energy from raw total energies = -1.72 eV per atom
# total energy = -5.540 eV/atom
data_NaAc2ThSe5
_symmetry_space_group_name_H-M 'C m c 21'
_symmetry_Int_Tables_number 36
_cell_length_a 4.3477
_cell_length_b 18.0560
_cell_length_c 13.2740
_cell_angle_alpha 90.00
_cell_angle_beta 90.00
_cell_angle_gamma 90.00
loop_
_symmetry_equiv_pos_as_xyz
'x,y,z'
'-x,-y,z+1/2'
'-x,y,z'
'x,-y,z+1/2'
'x+1/2,y+1/2,z'
'-x+1/2,-y+1/2,z+1/2'
'-x+1/2,y+1/2,z'
'x+1/2,-y+1/2,z+1/2'
loop_
_atom_site_label
_atom_site_fract_x
_atom_site_fract_y
_atom_site_fract_z
Na1 0.0000 0.0254 0.0000
Ac1 0.0000 0.3665 0.8304
Ac2 0.0000 0.3935 0.2235
Th1 0.0000 0.2980 0.5424
Se1 0.0000 0.0073 0.3027
Se2 0.0000 0.1363 0.5351
Se3 0.0000 0.1861 0.8876
Se4 0.0000 0.2179 0.1971
Se5 0.0000 0.4441 0.6104

# CsZnCrIr2 PBE relaxed
# energy relative to the elements = 1.704 eV/atom
# spin magnetization = 0.1 μB/f.u.
# total energy = -4.190 eV/atom
data_CsZnCrIr2
_symmetry_space_group_name_H-M 'P 4/m m m'
_symmetry_Int_Tables_number 123
_symmetry_space_group_name_Hall '-P 4 2'
_cell_length_a 4.7950
_cell_length_b 4.7950
_cell_length_c 4.7672
_cell_angle_alpha 90.00
_cell_angle_beta 90.00
_cell_angle_gamma 90.00
loop_
_atom_site_label
_atom_site_fract_x
_atom_site_fract_y
_atom_site_fract_z
Cs1 0.0000 0.0000 0.0000
Zn1 0.5000 0.5000 0.5000
Cr1 0.5000 0.5000 0.0000
Ir1 0.0000 0.5000 0.5000